## ZrUMoOs (PBE-GGA)

Data for an optimized crystal structure of ZrUMoOs.

- D(E_F): 8.5 states/eV/cell
- Total moment: 0.329 μB per atom
- Calculated formation energy: -0.033 eV per atom
- Mass density: 13.576 g/cm³
- Symmetry: F-43m (216)
- Total DFT energy (no corrections): -42.03 eV/f.u.

CIF file:
```
data_ZrUMoOs
_symmetry_space_group_name_H-M 'P 1'
_symmetry_Int_Tables_number 1
_symmetry_space_group_name_Hall 'P 1'
_cell_length_a 4.739
_cell_length_b 4.739
_cell_length_c 4.739
_cell_angle_alpha 60.00
_cell_angle_beta 60.00
_cell_angle_gamma 60.00
loop_
_atom_site_label
_atom_site_fract_x
_atom_site_fract_y
_atom_site_fract_z
Zr1 0.000 0.000 0.000
U1 0.500 0.500 0.500
Mo1 0.750 0.750 0.750
Os1 0.250 0.250 0.250
```